The following is a DFT calculation (PBE with a Hubbard U) of a relaxed FeCoPO2 crystal.

Output
Polymorph energy (0 for the lowest one) in kJ/mol of formula units: 20

a b c (Å): 3.659 3.659 4.742
angles (deg): 90.00 90.00 90.00
Space group P4/mmm (No. 123)
Asymmetric unit:
Fe 0.000 0.000 0.000
Co 0.500 0.500 0.500
P 0.500 0.500 0.000
O 0.000 0.500 0.500